Compound: TmCuPt4
Source: Alexandria via LeMat-Bulk
Functional: PBE-GGA
Structure: optimized geometry

Calculated values
Formation energy from the elements = -620 meV/atom
Mass density = 15.9 g/cm³
DOS(E_F) = 1.287 states/eV/atom
Total moment = 0.00 μB/atom
Energy above the most stable polymorph in this dataset = 62 meV per atom
Total DFT energy (no corrections) = -0.2233 hartree per atom

Geometry as POSCAR:
```
TmCuPt4
1.0
5.304 0.000 0.000
2.652 4.593 0.000
2.652 1.531 4.331
Tm Cu Pt
1 1 4
direct
0.250 0.250 0.250 Tm
0.000 0.000 0.000 Cu
0.626 0.626 0.123 Pt
0.626 0.123 0.626 Pt
0.626 0.626 0.626 Pt
0.123 0.626 0.626 Pt
```